The following is a GGA-PBEsol calculation of an optimized crystal structure of KSrBe2, from Alexandria via LeMat-Bulk.

a = 4.0777 Å, b = 4.0777 Å, c = 8.8394 Å
α = 102.86°, β = 102.86°, γ = 60.07°
Last column: nearest neighbours and their distance in Å.
Positions (direct):
K (0.0000, 0.0000, 0.0000)  6 Be 3.39-3.40
Sr (0.8339, 0.8339, 0.4865)  6 Be 3.05-3.06
Be (0.2401, 0.2401, 0.7140)  3 Be 2.35-2.36
Be (0.5746, 0.5746, 0.7139)  3 Be 2.35-2.36

## Properties
E above lowest polymorph = 0.000 eV/atom
space group = No. 8
formation energy = 517 meV/atom
mass density = 1.95 g cm⁻³
total magnetization = 0.0 μB/f.u.



The following is a GGA-PBEsol calculation of an optimized crystal structure of TbB2C, from Alexandria via LeMat-Bulk.

a = 6.7726 Å, b = 6.7726 Å, c = 7.4169 Å
α = 90.00°, β = 90.00°, γ = 90.00°
Last column: nearest neighbours and their distance in Å.
Positions (direct):
Tb (0.1902, 0.3098, 0.2500)  4 C 2.59-2.60, 10 B 2.63-2.76
Tb (0.1902, 0.3098, 0.7500)  4 C 2.59-2.60, 10 B 2.63-2.76
Tb (0.3098, 0.8098, 0.2500)  4 C 2.59-2.60, 10 B 2.63-2.76
Tb (0.3098, 0.8098, 0.7500)  4 C 2.59-2.60, 10 B 2.63-2.76
Tb (0.6902, 0.1902, 0.2500)  4 C 2.59-2.60, 10 B 2.63-2.76
Tb (0.6902, 0.1902, 0.7500)  4 C 2.59-2.60, 10 B 2.63-2.76
Tb (0.8098, 0.6902, 0.2500)  4 C 2.59-2.60, 10 B 2.63-2.76
Tb (0.8098, 0.6902, 0.7500)  4 C 2.59-2.60, 10 B 2.63-2.76
B (0.0342, 0.8492, 0.0000)  2 C 1.62, 1 B 1.76
B (0.0946, 0.5968, 0.0000)  1 C 1.59, 1 B 1.76
B (0.0968, 0.5946, 0.5000)  1 C 1.59, 1 B 1.76
B (0.1508, 0.0342, 0.5000)  2 C 1.62, 1 B 1.76
B (0.3492, 0.5342, 0.5000)  2 C 1.62, 1 B 1.76
B (0.4032, 0.0946, 0.5000)  1 C 1.59, 1 B 1.76
B (0.4054, 0.0968, 0.0000)  1 C 1.59, 1 B 1.76
B (0.4658, 0.3492, 0.0000)  2 C 1.62, 1 B 1.76
B (0.5342, 0.6508, 0.0000)  2 C 1.62, 1 B 1.76
B (0.5946, 0.9032, 0.0000)  1 C 1.59, 1 B 1.76
B (0.5968, 0.9054, 0.5000)  1 C 1.59, 1 B 1.76
B (0.6508, 0.4658, 0.5000)  2 C 1.62, 1 B 1.76
B (0.8492, 0.9658, 0.5000)  2 C 1.62, 1 B 1.76
B (0.9032, 0.4054, 0.5000)  1 C 1.59, 1 B 1.76
B (0.9054, 0.4032, 0.0000)  1 C 1.59, 1 B 1.76
B (0.9658, 0.1508, 0.0000)  2 C 1.62, 1 B 1.76
C (0.0409, 0.8221, 0.5000)  3 B 1.59-1.62
C (0.1779, 0.0409, 0.0000)  3 B 1.59-1.62
C (0.3221, 0.5409, 0.0000)  3 B 1.59-1.62
C (0.4591, 0.3221, 0.5000)  3 B 1.59-1.62
C (0.5409, 0.6779, 0.5000)  3 B 1.59-1.62
C (0.6779, 0.4591, 0.0000)  3 B 1.59-1.62
C (0.8221, 0.9591, 0.0000)  3 B 1.59-1.62
C (0.9591, 0.1779, 0.5000)  3 B 1.59-1.62

## Properties
space group = No. 135
formation energy = -586 meV/atom
mass density = 7.52 g cm⁻³
total magnetization = 0.0 μB/f.u.



The following is a GGA-PBEsol calculation of an optimized crystal structure of LiAlPHO5, from Alexandria via LeMat-Bulk.

a = 5.0215 Å, b = 5.2062 Å, c = 7.0195 Å
α = 106.33°, β = 109.08°, γ = 98.35°
Last column: nearest neighbours and their distance in Å.
Positions (direct):
Li (0.2475, 0.3893, 0.3159)  5 O 1.98-2.09
Li (0.7525, 0.6107, 0.6841)  5 O 1.98-2.09
Al (0.5000, 0.0000, 0.0000)  6 O 1.90-1.92
Al (0.5000, 0.0000, 0.5000)  6 O 1.85-1.92
P (0.1744, 0.3575, 0.7317)  4 O 1.54-1.55
P (0.8256, 0.6425, 0.2683)  4 O 1.54-1.55
H (0.1500, 0.9276, 0.1528)  1 O 1.00
H (0.8500, 0.0724, 0.8472)  1 O 1.00
O (0.1440, 0.7604, 0.4318)  1 P 1.54
O (0.1984, 0.6663, 0.8408)  1 P 1.54
O (0.2316, 0.2033, 0.8931)  1 P 1.54
O (0.3576, 0.0386, 0.2245)  1 H 1.00
O (0.3834, 0.3280, 0.6105)  1 P 1.55
O (0.6166, 0.6720, 0.3895)  1 P 1.55
O (0.6424, 0.9614, 0.7755)  1 H 1.00
O (0.7684, 0.7967, 0.1069)  1 P 1.54
O (0.8016, 0.3337, 0.1592)  1 P 1.54
O (0.8560, 0.2396, 0.5682)  1 P 1.54

## Properties
space group = No. 2
VASP energy = -6.9941 eV/atom
mass density = 3.02 g cm⁻³
total magnetization = 0.0 μB/f.u.



The following is a GGA-PBEsol calculation of an optimized crystal structure of La2Y, from Alexandria via LeMat-Bulk.

a = 5.7305 Å, b = 5.7305 Å, c = 3.4740 Å
α = 90.00°, β = 90.00°, γ = 120.00°
Last column: nearest neighbours and their distance in Å.
Positions (direct):
La (0.3333, 0.6667, 0.0000)  5 La 3.31-3.47
La (0.6667, 0.3333, 0.0000)  5 La 3.31-3.47
Y (0.0000, 0.0000, 0.5000)  2 Y 3.47, 12 La 3.74

## Properties
E above lowest polymorph = 0.046 eV/atom
space group = No. 191
formation energy = 58 meV/atom
mass density = 6.16 g cm⁻³
total magnetization = 0.0 μB/f.u.